Compound: Ho5S7
Source: Alexandria
Functional: SCAN
Structure: PBEsol geometry

a b c (Å): 6.572 6.572 11.393
angles (deg): 104.04 104.04 33.06
Fractional coordinates of all 12 atoms:
Ho  0.000  0.000  0.000
Ho  0.112  0.112  0.422
Ho  0.300  0.300  0.189
Ho  0.700  0.700  0.811
Ho  0.888  0.888  0.578
S  0.041  0.041  0.785
S  0.259  0.259  0.649
S  0.340  0.340  0.949
S  0.500  0.500  0.500
S  0.660  0.660  0.051
S  0.741  0.741  0.351
S  0.959  0.959  0.215

Values from the calculation:
DFT total energy = -2.0855 Ry/atom
crystal system = monoclinic
formation energy from raw total energies = -2347 meV/atom

=====

Compound: SrHo2S4
Source: Alexandria
Functional: SCAN
Structure: PBEsol geometry

a b c (Å): 11.765 3.932 14.138
angles (deg): 90.00 90.00 90.00
Fractional coordinates of all 28 atoms:
Sr  0.243  0.250  0.162
Sr  0.257  0.750  0.662
Sr  0.743  0.250  0.338
Sr  0.757  0.750  0.838
Ho  0.071  0.250  0.391
Ho  0.079  0.250  0.899
Ho  0.421  0.750  0.399
Ho  0.429  0.750  0.891
Ho  0.571  0.250  0.109
Ho  0.579  0.250  0.601
Ho  0.921  0.750  0.101
Ho  0.929  0.750  0.609
S  0.020  0.750  0.783
S  0.084  0.250  0.580
S  0.132  0.750  0.025
S  0.209  0.750  0.325
S  0.291  0.250  0.825
S  0.368  0.250  0.525
S  0.416  0.750  0.080
S  0.480  0.250  0.283
S  0.520  0.750  0.717
S  0.584  0.250  0.920
S  0.632  0.750  0.475
S  0.709  0.750  0.175
S  0.791  0.250  0.675
S  0.868  0.250  0.975
S  0.916  0.750  0.420
S  0.980  0.250  0.217

Values from the calculation:
DFT total energy = -1.8453 Ry/atom
crystal system = orthorhombic
formation energy from raw total energies = -2426 meV/atom

=====

Compound: Ho10Te7S10
Source: Alexandria
Functional: SCAN
Structure: PBEsol geometry

a b c (Å): 7.473 9.435 11.263
angles (deg): 91.20 103.02 111.26
Fractional coordinates of all 27 atoms:
Ho  0.000  0.000  0.000
Ho  0.044  0.424  0.868
Ho  0.172  0.213  0.598
Ho  0.249  0.605  0.463
Ho  0.376  0.394  0.193
Ho  0.420  0.818  0.061
Ho  0.597  0.613  0.807
Ho  0.649  0.005  0.668
Ho  0.771  0.813  0.393
Ho  0.823  0.205  0.255
Te  0.060  0.758  0.821
Te  0.209  0.908  0.532
Te  0.360  0.060  0.241
Te  0.467  0.165  0.020
Te  0.588  0.286  0.771
Te  0.832  0.532  0.291
Te  0.953  0.653  0.041
S  0.004  0.274  0.069
S  0.023  0.143  0.791
S  0.210  0.492  0.675
S  0.211  0.326  0.387
S  0.397  0.674  0.271
S  0.417  0.544  0.992
S  0.616  0.887  0.877
S  0.627  0.728  0.588
S  0.793  0.090  0.473
S  0.804  0.932  0.184

Values from the calculation:
DFT total energy = -2.4484 Ry/atom
crystal system = triclinic
formation energy from raw total energies = -1944 meV/atom

=====

Compound: Ho2TeS2
Source: Alexandria
Functional: SCAN
Structure: PBEsol geometry

a b c (Å): 7.402 7.402 7.402
angles (deg): 147.90 138.15 53.70
Fractional coordinates of all 5 atoms:
Ho  0.168  0.168  0.000
Ho  0.832  0.832  0.000
Te  0.000  0.500  0.500
S  0.299  0.799  0.500
S  0.701  0.201  0.500

Values from the calculation:
DFT total energy = -2.4243 Ry/atom
crystal system = orthorhombic
formation energy from raw total energies = -2088 meV/atom

=====

Compound: HoTlS2
Source: Alexandria
Functional: SCAN
Structure: PBEsol geometry

a b c (Å): 7.709 7.709 7.709
angles (deg): 29.55 29.55 29.55
Fractional coordinates of all 4 atoms:
Ho  0.000  0.000  0.000
Tl  0.500  0.500  0.500
S  0.266  0.266  0.266
S  0.734  0.734  0.734

Values from the calculation:
DFT total energy = -2.7071 Ry/atom
crystal system = trigonal
formation energy from raw total energies = -1681 meV/atom

=====

Compound: Ho2ZnS4
Source: Alexandria
Functional: SCAN
Structure: PBEsol geometry

a b c (Å): 13.294 7.771 6.228
angles (deg): 90.00 90.00 90.00
Fractional coordinates of all 28 atoms:
Ho  0.000  0.000  0.000
Ho  0.000  0.500  0.000
Ho  0.235  0.250  0.494
Ho  0.265  0.750  0.994
Ho  0.500  0.000  0.500
Ho  0.500  0.500  0.500
Ho  0.735  0.250  0.006
Ho  0.765  0.750  0.506
Zn  0.092  0.750  0.408
Zn  0.408  0.250  0.908
Zn  0.592  0.750  0.092
Zn  0.908  0.250  0.592
S  0.071  0.250  0.744
S  0.090  0.750  0.772
S  0.169  0.513  0.243
S  0.169  0.987  0.243
S  0.331  0.013  0.743
S  0.331  0.487  0.743
S  0.410  0.250  0.272
S  0.429  0.750  0.244
S  0.571  0.250  0.756
S  0.590  0.750  0.728
S  0.669  0.513  0.257
S  0.669  0.987  0.257
S  0.831  0.013  0.757
S  0.831  0.487  0.757
S  0.910  0.250  0.228
S  0.929  0.750  0.256

Values from the calculation:
DFT total energy = -1.7173 Ry/atom
crystal system = orthorhombic
formation energy from raw total energies = -1936 meV/atom